P) RbSiAgS3 | PBE | optimized geometry

Cell and atoms, written as CIF:
```
data_RbSiAgS3
_chemical_formula_sum 'Rb4 Si4 Ag4 S12'
_cell_length_a 3.4677
_cell_length_b 15.7650
_cell_length_c 10.0961
_cell_angle_alpha 90.00
_cell_angle_beta 90.00
_cell_angle_gamma 90.00
_space_group_name_H-M_alt 'C m c m'
_space_group_IT_number 63
_space_group_name_Hall '-C 2c 2'
loop_
_atom_site_label
_atom_site_fract_x
_atom_site_fract_y
_atom_site_fract_z
Rb1 0.0000 0.2181 0.2500
Si1 0.0000 0.5000 0.0000
Ag1 0.0000 0.0902 0.7500
S1 0.0000 0.1024 0.5138
S2 0.0000 0.4615 0.7500
```

Q) RbSiAgS3 | PBE | optimized geometry

Cell and atoms, written as CIF:
```
data_RbSiAgS3
_chemical_formula_sum 'Rb4 Si4 Ag4 S12'
_cell_length_a 13.5726
_cell_length_b 3.6566
_cell_length_c 10.9664
_cell_angle_alpha 90.00
_cell_angle_beta 90.00
_cell_angle_gamma 90.00
_space_group_name_H-M_alt 'P n m a'
_space_group_IT_number 62
loop_
_space_group_symop_operation_xyz
'x,y,z'
'-x,-y,-z'
'-x+1/2,-y,z+1/2'
'x+1/2,y,-z+1/2'
'x+1/2,-y+1/2,-z+1/2'
'-x+1/2,y+1/2,z+1/2'
'-x,y+1/2,-z'
'x,-y+1/2,z'
loop_
_atom_site_label
_atom_site_fract_x
_atom_site_fract_y
_atom_site_fract_z
Rb1 0.1478 0.2500 0.0275
Si1 0.0183 0.7500 0.6352
Ag1 0.2390 0.7500 0.2638
S1 0.0621 0.7500 0.2621
S2 0.0957 0.2500 0.5210
S3 0.1356 0.7500 0.7777
```

Short version: Q), P), most stable first.